Record 1
Computed, not measured: an optimized crystal structure of BTeMoSe2 at the GGA-PBEsol level of DFT.

* space-group type: P4/mmm (123)
* total DFT energy (no corrections): -4.916 eV/atom

a = 4.715 Å, b = 4.715 Å, c = 5.582 Å
α = 90.00°, β = 90.00°, γ = 90.00°
Positions (direct):
B 0.000 0.000 0.000
Te 0.500 0.500 0.000
Mo 0.500 0.500 0.500
Se 0.000 0.500 0.500
Se 0.500 0.000 0.500


Record 2
Computed, not measured: an optimized crystal structure of LaAsS2 at the GGA-PBEsol level of DFT.

* space-group type: R-3m (166)
* total DFT energy (no corrections): -5.677 eV/atom

a = 8.343 Å, b = 8.343 Å, c = 8.343 Å
α = 28.63°, β = 28.63°, γ = 28.63°
Positions (direct):
La 0.000 0.000 0.000
As 0.500 0.500 0.500
S 0.397 0.397 0.397
S 0.603 0.603 0.603


Record 3
Computed, not measured: an optimized crystal structure of LiZrSc2 at the GGA-PBEsol level of DFT.

* space-group type: Imm2 (44)
* formation energy: 132 meV per atom

a = 5.932 Å, b = 5.932 Å, c = 5.932 Å
α = 147.39°, β = 130.98°, γ = 60.12°
Positions (direct):
Li 0.000 0.000 0.000
Zr 0.773 0.273 0.500
Sc 0.221 0.721 0.500
Sc 0.500 0.500 0.000